AuSNF2 | Alexandria | PBE-GGA | optimized geometry; ρ = 6718 kg/m3; E above lowest polymorph = 0.0000 eV per atom; total magnetization = 0.00 μB/f.u.; space-group type = P4/mmm (123); E_tot = -3.5891 eV/atom
1.0
4.5925 0.0000 0.0000
0.0000 4.5925 0.0000
0.0000 0.0000 3.2936
Au S N F
1 1 1 2
direct
0.0000 0.0000 0.0000
0.5000 0.5000 0.5000
0.5000 0.5000 0.0000
0.0000 0.5000 0.5000
0.5000 0.0000 0.5000